This record from the Alexandria database describes a geometry-optimized MnReAg2 structure. The functional is GGA-PBE.

Relative energy among the computed polymorphs, meV/atom: 0.4
Calculated formation energy, eV per atom: 0.33
Magnetization, μB/cell: 0.00

Cell lengths 9.5367, 9.5367, 9.5367 Å; angles 16.59, 16.59, 16.59 degrees
Sites, in units of the cell vectors:
Mn (0.0000, 0.0000, 0.0000)
Re (0.7346, 0.7346, 0.7346)
Ag (0.2499, 0.2499, 0.2499)
Ag (0.4921, 0.4921, 0.4921)

***

This record from the Alexandria database describes a geometry-optimized Pr5Nd4Tl structure. The functional is GGA-PBE.

Relative energy among the computed polymorphs, meV/atom: 0.0
Calculated formation energy, eV per atom: 0.01
Magnetization, μB/cell: 0.00

Cell lengths 4.3147, 4.3147, 18.4522 Å; angles 90.00, 90.00, 90.00 degrees
Sites, in units of the cell vectors:
Pr (0.0000, 0.0000, 0.0000)
Pr (0.0000, 0.0000, 0.2057)
Pr (0.0000, 0.0000, 0.4113)
Pr (0.0000, 0.0000, 0.5887)
Pr (0.0000, 0.0000, 0.7943)
Nd (0.5000, 0.5000, 0.1018)
Nd (0.5000, 0.5000, 0.3035)
Nd (0.5000, 0.5000, 0.6965)
Nd (0.5000, 0.5000, 0.8982)
Tl (0.5000, 0.5000, 0.5000)

***

This record from the Alexandria database describes a geometry-optimized BaMg9Pt2 structure. The functional is GGA-PBE.

Calculated formation energy, eV per atom: -0.41
Magnetization, μB/cell: 0.00

Cell lengths 9.2035, 9.2035, 9.2035 Å; angles 100.36, 100.36, 129.83 degrees
Sites, in units of the cell vectors:
Ba (0.3750, 0.6250, 0.7500)
Ba (0.6250, 0.3750, 0.2500)
Mg (0.1250, 0.8750, 0.2500)
Mg (0.1486, 0.5758, 0.3256)
Mg (0.1486, 0.8229, 0.5728)
Mg (0.1771, 0.2498, 0.3256)
Mg (0.1771, 0.8514, 0.9272)
Mg (0.2498, 0.1771, 0.8256)
Mg (0.2498, 0.4242, 0.0728)
Mg (0.4242, 0.2498, 0.5728)
Mg (0.4242, 0.8514, 0.1744)
Mg (0.5758, 0.1486, 0.8256)
Mg (0.5758, 0.7502, 0.4272)
Mg (0.7502, 0.5758, 0.9272)
Mg (0.7502, 0.8229, 0.1744)
Mg (0.8229, 0.1486, 0.0728)
Mg (0.8229, 0.7502, 0.6744)
Mg (0.8514, 0.1771, 0.4272)
Mg (0.8514, 0.4242, 0.6744)
Mg (0.8750, 0.1250, 0.7500)
Pt (0.0000, 0.0000, 0.0000)
Pt (0.0000, 0.0000, 0.5000)
Pt (0.0000, 0.5000, 0.0000)
Pt (0.5000, 0.0000, 0.5000)